Here is ErVRu after structural relaxation from Alexandria. Energies are from PBE.

Calculated values
The value obtained for the total magnetization is 0.00 μB/cell. As for the energy relative to the elements: -237 meV per atom.

Cell lengths 4.266, 4.266, 6.464 Å; angles 90.00, 90.00, 90.00 degrees
Space group P4/nmm (No. 129, origin choice 2)
Symmetry-distinct sites (fractional):
Er: 0.250 0.250 0.154 x2
V: 0.250 0.750 0.500 x2
Ru: 0.250 0.250 0.687 x2

Here is ErVRu after structural relaxation from Alexandria. Energies are from PBE.

Calculated values
The value obtained for the total magnetization is 1.11 μB/cell. As for the energy relative to the elements: -25 meV per atom.

Cell lengths 3.9968, 3.9968, 4.4734 Å; angles 90.00, 90.00, 120.00 degrees
Space group P-6m2 (No. 187)
Symmetry-distinct sites (fractional):
Er: 0.0000 0.0000 0.0000 x1
V: 0.3333 0.6667 0.5000 x1
Ru: 0.6667 0.3333 0.5000 x1

Here is ErV2Ru after structural relaxation from Alexandria. Energies are from PBE.

Calculated values
The value obtained for the total magnetization is 0.03 μB/cell. As for the energy relative to the elements: 199 meV per atom.

Cell lengths 6.344, 6.344, 6.344 Å; angles 90.00, 90.00, 90.00 degrees
Space group Fm-3m (No. 225)
Symmetry-distinct sites (fractional):
Er: 0.000 0.000 0.000 x4
V: 0.250 0.250 0.250 x8
Ru: 0.000 0.000 0.500 x4

Here is ErVRu2 after structural relaxation from Alexandria. Energies are from PBE.

Calculated values
The value obtained for the total magnetization is 0.00 μB/cell. As for the energy relative to the elements: -187 meV per atom.

Cell lengths 4.516, 4.516, 3.184 Å; angles 90.00, 90.00, 90.00 degrees
Space group P4/mmm (No. 123)
Symmetry-distinct sites (fractional):
Er: 0.000 0.000 0.000 x1
V: 0.500 0.500 0.000 x1
Ru: 0.000 0.500 0.500 x2

Here is Er2VRu after structural relaxation from Alexandria. Energies are from PBE.

Calculated values
The value obtained for the total magnetization is 7.80 μB/cell. As for the energy relative to the elements: 484 meV per atom.

Cell lengths 3.2422, 3.2422, 29.5608 Å; angles 90.00, 90.00, 120.00 degrees
Space group R-3m (No. 166, hexagonal axes)
Symmetry-distinct sites (fractional):
Er: 0.0000 0.0000 0.0970 x6
V: 0.0000 0.0000 0.0000 x3
Ru: 0.0000 0.0000 0.5000 x3

Here is ErVRu2 after structural relaxation from Alexandria. Energies are from PBE.

Calculated values
The value obtained for the total magnetization is 0.00 μB/cell. As for the energy relative to the elements: -304 meV per atom.

Cell lengths 3.137, 3.137, 6.623 Å; angles 90.00, 90.00, 90.00 degrees
Space group P4/mmm (No. 123)
Symmetry-distinct sites (fractional):
Er: 0.000 0.000 0.000 x1
V: 0.000 0.000 0.500 x1
Ru: 0.500 0.500 0.286 x2

Here is ErV4Ru5 after structural relaxation from Alexandria. Energies are from PBE.

Calculated values
The value obtained for the total magnetization is 0.00 μB/cell. As for the energy relative to the elements: -280 meV per atom.

Cell lengths 3.012, 3.012, 16.316 Å; angles 90.00, 90.00, 90.00 degrees
Space group P4/mmm (No. 123)
Symmetry-distinct sites (fractional):
Er: 0.000 0.000 0.000 x1
V: 0.000 0.000 0.215 x2
V: 0.000 0.000 0.405 x2
Ru: 0.500 0.500 0.135 x2
Ru: 0.500 0.500 0.317 x2
Ru: 0.500 0.500 0.500 x1

Here is ErRuW after structural relaxation from Alexandria. Energies are from PBE.

Calculated values
The value obtained for the total magnetization is 0.00 μB/cell. As for the energy relative to the elements: 424 meV per atom.

Cell lengths 4.754, 9.392, 20.680 Å; angles 90.00, 90.00, 90.00 degrees
Space group Fddd (No. 70, origin choice 2)
Symmetry-distinct sites (fractional):
Er: 0.125 0.286 0.125 x16
Ru: 0.125 0.125 0.557 x16
W: 0.125 0.125 0.002 x16

Question: What is the energy relative to the elements in the first record?
Answer: -237 meV per atom

Question: Which value of energy relative to the elements does entry 3 give?
Answer: 199 meV per atom

Question: Which value of energy relative to the elements does entry 4 give?
Answer: -187 meV per atom

Question: Look up the energy relative to the elements of the seventh one.
Answer: -280 meV per atom